1.
A relaxed structure of CePmSi2. Source: Alexandria, functional PBE-GGA.

Properties
- E_form (uncorrected): -0.47 eV/atom
- Space-group type: P4/mmm, No. 123

Structure (POSCAR):
```
CePmSi2
1.0
-0.1989 -2.9409 -2.4274
0.4321 -2.4324 2.9116
-6.1761 -0.2005 0.7491
Si Ce Pm
2 1 1
Cartesian
-4.7673 -0.1547 0.5782
-1.4088 -0.0457 0.1709
-2.9715 -2.7869 0.6167
0.1166 -2.6867 0.2421
```


2.
A relaxed structure of YEr3Tm2. Source: Alexandria, functional PBE-GGA.

Properties
- Energy above the lowest structure with this stoichiometry: 0.0 meV per atom
- Space-group type: C2/c, No. 15

Structure (POSCAR):
```
YEr3Tm2
1.0
-1.8214 2.7349 -5.1107
-4.6037 -5.1838 -1.1333
-3.6627 6.9187 5.0045
Er Tm Y
6 4 2
Cartesian
-2.7298 1.0309 0.9144
-2.4862 3.6982 -1.3568
-7.6016 0.7717 0.1173
-2.1853 -1.2642 -1.7035
-7.3580 3.4390 -2.1539
-4.2399 -1.1847 -4.5405
-4.7818 1.0914 -1.9184
-5.3060 3.3785 0.6789
-5.0175 -1.5669 0.3548
-5.0703 6.0368 -1.5943
-4.4794 -3.8474 -2.2683
-1.9457 1.3985 -3.9757
```


3.
A relaxed structure of HoErGaIr. Source: Alexandria, functional PBE-GGA.

Properties
- Energy above the lowest structure with this stoichiometry: 0.0 meV per atom
- Space-group type: Amm2, No. 38

Structure (POSCAR):
```
HoErGaIr
1.0
-0.2112 -0.3625 3.8757
0.4363 -4.2514 -0.3739
5.3627 0.6913 -1.6036
Ir Ga Ho Er
1 1 1 1
Cartesian
4.4805 0.4347 0.2849
0.8585 -2.2346 1.7983
1.5039 0.1459 0.0956
3.8963 -1.9399 1.9914
```


4.
A relaxed structure of Ac3PrPd12. Source: Alexandria, functional PBE-GGA.

Properties
- Uncorrected energy: -5.69 eV per atom
- Space-group type: P4/mmm, No. 123

Structure (POSCAR):
```
Ac3PrPd12
1.0
-2.6160 -0.6768 -3.3307
-0.5182 -4.0745 1.2350
-13.4631 4.6321 9.6328
Ac Pd Pr
3 12 1
Cartesian
-10.1376 3.4879 7.2535
-3.3255 1.1442 2.3794
-6.7315 2.3160 4.8164
-9.7412 2.5631 4.3686
-5.2890 -0.3067 4.2163
-8.6923 0.8643 6.6515
-4.8998 -1.2290 1.3367
-8.2986 -0.0596 3.7686
-1.8907 -1.4759 1.7849
-12.0905 2.0335 9.0829
-13.1394 3.7323 6.8001
-11.6974 1.1098 6.2004
-6.3378 1.3922 1.9335
-1.5671 -2.3756 -1.0479
-2.9396 0.2230 -0.4979
0.0000 0.0000 0.0000
```


5.
A relaxed structure of GaPRuAu2S. Source: Alexandria, functional PBE-GGA.

Properties
- Energy above the lowest structure with this stoichiometry: 112.3 meV per atom
- E_form (uncorrected): -0.03 eV/atom
- Space-group type: Cm, No. 8

Structure (POSCAR):
```
GaPRuAu2S
1.0
-3.7216 1.0089 1.2044
0.4510 -1.6691 2.7917
6.2472 12.9950 6.7602
P Au S Ru Ga
2 4 2 2 2
Cartesian
1.9151 6.9287 3.8331
-0.9830 -0.4034 1.8489
0.2455 6.3215 5.6711
3.1437 13.6535 7.6553
5.1928 10.4778 7.3568
1.8437 4.8149 2.5809
-0.5484 3.9336 2.4404
2.8007 9.5965 7.2164
2.7811 7.4716 5.9491
-0.5680 1.8087 1.1732
0.9727 9.5407 5.5471
-1.9254 2.2087 3.5628
```


6.
A relaxed structure of Li2InOs. Source: Alexandria, functional PBE-GGA.

Properties
- Uncorrected energy: -4.23 eV per atom
- Space-group type: I-4m2, No. 119

Structure (POSCAR):
```
Li2InOs
1.0
4.7654 -0.0009 0.0000
1.3765 4.5622 0.0000
-3.0709 -2.2806 2.8420
Li In Os
2 1 1
Cartesian
0.0000 0.0000 0.0000
0.6882 2.2811 1.4210
2.3827 -0.0005 1.4210
3.0709 2.2806 0.0000
```


7.
A relaxed structure of SrPtAuO5. Source: Alexandria, functional PBE-GGA.

Properties
- E_form (uncorrected): -0.95 eV/atom
- Space-group type: C2/c, No. 15

Structure (POSCAR):
```
SrPtAuO5
1.0
0.1121 6.5398 -0.0151
-3.8281 -1.3576 -5.1268
-1.7967 -3.1117 6.1923
O Sr Pt Au
10 2 2 2
Cartesian
-3.9399 -1.4592 -3.1410
-2.8624 -1.0987 2.7405
-1.5728 3.5297 4.1914
-4.8915 -1.3601 -0.7637
-4.0892 -3.2753 1.5768
-1.5136 1.3600 0.2288
-1.4236 5.3459 -0.5263
-3.9992 0.7105 0.8217
-0.6212 3.4306 1.8142
-2.6503 3.1692 -1.6900
-2.8714 0.6822 -1.7549
-2.6413 1.3883 2.8053
0.0000 0.0000 0.0000
-0.8984 -1.5558 3.0962
-3.9928 -1.3204 1.0521
-1.5200 3.3910 -0.0016
```


8.
A relaxed structure of Sn3HgMo. Source: Alexandria, functional PBE-GGA.

Properties
- Energy above the lowest structure with this stoichiometry: 1120.0 meV per atom
- Space-group type: Pm-3m, No. 221

Structure (POSCAR):
```
Sn3HgMo
1.0
-0.4784 4.2906 -3.3952
-3.9935 2.0560 3.1609
3.7402 2.7439 2.9406
Mo Sn Hg
1 3 1
Cartesian
-0.3658 4.5453 1.3532
1.8701 1.3720 1.4703
-1.9967 1.0280 1.5804
-0.2392 2.1453 -1.6976
0.0000 0.0000 0.0000
```


9.
A relaxed structure of Ba2GePb. Source: Alexandria, functional PBE-GGA.

Properties
- Energy above the lowest structure with this stoichiometry: 6.7 meV per atom
- Space-group type: Amm2, No. 38

Structure (POSCAR):
```
Ba2GePb
1.0
-3.2512 4.0938 -0.4794
-5.8391 -4.3850 2.1551
2.9080 -0.1758 7.5214
Ba Pb Ge
4 2 2
Cartesian
1.2120 1.7684 6.8821
-0.9702 3.0033 3.4824
-3.4620 1.4349 6.9886
-4.1159 0.4808 3.2754
-0.8971 -0.4730 2.0447
-4.3753 -3.0851 3.3284
-1.1306 -0.3067 5.0488
-3.1768 -1.8433 5.8040
```


10.
A relaxed structure of RbAsS2Cl. Source: Alexandria, functional PBE-GGA.

Properties
- Energy above the lowest structure with this stoichiometry: 1667.2 meV per atom
- E_form (uncorrected): 1.19 eV/atom
- Space-group type: P4/mmm, No. 123

Structure (POSCAR):
```
RbAsS2Cl
1.0
5.9967 0.0000 0.0000
0.0000 5.8680 0.0000
0.0000 0.0000 5.9967
S As Cl Rb
2 1 1 1
Cartesian
0.0000 0.0000 2.9984
2.9984 0.0000 0.0000
2.9984 2.9340 2.9984
0.0000 2.9340 0.0000
0.0000 0.0000 0.0000
```


11.
A relaxed structure of Sm2Pu3UN6. Source: Alexandria, functional PBE-GGA.

Properties
- E_form (uncorrected): -1.37 eV/atom
- Space-group type: C2/m, No. 12

Structure (POSCAR):
```
Sm2Pu3UN6
1.0
-4.3355 -0.7637 -4.1983
5.8295 0.3965 -1.6925
0.0288 -5.5485 2.4524
U N Pu Sm
1 6 3 2
Cartesian
0.0000 0.0000 0.0000
-1.2089 -1.6423 -1.1772
-0.4096 -4.6319 -3.0356
2.7317 -4.2734 -2.2613
0.3598 -4.2437 0.5054
1.9324 -1.2837 -0.4028
1.1630 -1.6720 -3.9439
-2.6063 -3.3422 -2.5494
0.7614 -2.9578 -1.7192
4.1291 -2.5735 -0.8891
-0.9445 -0.3767 -3.3624
2.4386 0.0095 -2.5284
```


12.
A relaxed structure of Pm2In5Rh3. Source: Alexandria, functional PBE-GGA.

Properties
- Uncorrected energy: -5.09 eV per atom
- Space-group type: Cmc2_1, No. 36

Structure (POSCAR):
```
Pm2In5Rh3
1.0
-1.2970 4.2653 0.6525
-3.4440 -1.9879 6.1489
11.7392 0.1754 6.6318
Rh Pm In
6 4 10
Cartesian
8.5680 1.7492 5.5963
-0.0309 1.5918 5.0895
7.6970 3.2242 9.7797
4.4628 0.6936 4.3371
2.9832 2.0177 8.2967
0.9712 0.1925 0.6721
1.4939 -0.5729 6.7142
-1.0832 1.6684 2.4973
5.8817 3.2435 6.0453
7.7777 0.6091 11.4782
4.7667 0.3736 7.0324
7.5137 1.0450 8.1042
8.8435 3.9518 7.3021
-1.6038 0.7796 7.2720
3.4499 -0.4133 9.5591
1.9612 0.0913 3.3015
-0.9694 -0.9935 4.5674
5.0422 2.3645 10.1224
0.6031 1.1392 9.3081
2.5847 2.3099 5.5946
```


13.
A relaxed structure of ZrScC. Source: Alexandria, functional PBE-GGA.

Properties
- Energy above the lowest structure with this stoichiometry: 53.8 meV per atom
- Space-group type: P3m1, No. 156

Structure (POSCAR):
```
ZrScC
1.0
5.5280 0.0000 0.0000
0.0000 3.3373 0.0000
0.0000 -1.6686 2.8902
Sc Zr C
1 1 1
Cartesian
3.1093 1.6686 0.9634
0.6083 0.0000 0.0000
1.8104 0.0000 1.9268
```


14.
A relaxed structure of LiCeDySi. Source: Alexandria, functional PBE-GGA.

Properties
- E_form (uncorrected): -0.27 eV/atom
- Space-group type: F-43m, No. 216

Structure (POSCAR):
```
LiCeDySi
1.0
5.0240 0.0000 0.0000
2.5120 4.3509 0.0000
2.5120 1.4503 4.1021
Ce Si Li Dy
1 1 1 1
Cartesian
0.0000 0.0000 0.0000
7.5361 4.3509 3.0766
2.5120 1.4503 1.0255
5.0240 2.9006 2.0511
```


15.
A relaxed structure of TlBiIr2Pd. Source: Alexandria, functional PBE-GGA.

Properties
- Uncorrected energy: -4.09 eV per atom
- Space-group type: P4/mmm, No. 123

Structure (POSCAR):
```
TlBiIr2Pd
1.0
4.9790 0.0000 0.0000
0.0000 5.8475 0.0000
0.0000 0.0000 4.9790
Pd Tl Ir Bi
1 1 2 1
Cartesian
2.4895 2.9238 2.4895
0.0000 2.9238 0.0000
0.0000 0.0000 2.4895
2.4895 0.0000 0.0000
0.0000 0.0000 0.0000
```


16.
A relaxed structure of Ac3TbOs2N6. Source: Alexandria, functional PBE-GGA.

Properties
- E_form (uncorrected): -0.65 eV/atom
- Space-group type: P-3m1, No. 164

Structure (POSCAR):
```
Ac3TbOs2N6
1.0
-3.4850 4.0094 2.9559
-2.4308 -5.1457 -2.1379
1.4182 -3.1266 5.9130
N Ac Os Tb
6 3 2 1
Cartesian
-3.8966 -2.5292 1.8748
-2.2947 0.2149 6.2928
-2.2029 -4.4778 0.4382
-3.4761 -2.2859 5.2538
-1.0215 -1.9770 1.4772
-0.6010 -1.7337 4.8562
0.0000 0.0000 0.0000
-1.8044 -4.2498 3.6372
-2.6933 -0.0131 3.0939
-2.5218 -2.6681 0.6459
-1.9758 -1.5948 6.0851
0.7091 -1.5633 2.9565
```


17.
A relaxed structure of CsLiLaSb2. Source: Alexandria, functional PBE-GGA.

Properties
- E_form (uncorrected): -0.20 eV/atom
- Space-group type: P4/mmm, No. 123

Structure (POSCAR):
```
CsLiLaSb2
1.0
-1.9007 -5.2215 0.3931
3.3196 -0.9319 3.6724
-3.7339 1.6447 3.7926
Cs La Sb Li
1 1 2 1
Cartesian
1.6598 -0.4659 1.8362
-1.1575 -2.2543 3.9290
-0.9504 -2.6107 0.1966
-1.8670 0.8224 1.8963
0.0000 0.0000 0.0000
```


18.
A relaxed structure of PuCdSn2. Source: Alexandria, functional PBE-GGA.

Properties
- Energy above the lowest structure with this stoichiometry: 0.0 meV per atom
- Space-group type: P4/mmm, No. 123

Structure (POSCAR):
```
PuCdSn2
1.0
-2.8425 2.7310 -2.0699
1.9916 -1.0771 -4.1561
-3.0501 -3.5793 -0.5340
Sn Cd Pu
2 1 1
Cartesian
0.9958 -0.5386 -2.0781
-1.5251 -1.7897 -0.2670
-1.4212 1.3655 -1.0349
-1.9505 -0.9627 -3.3800
```


19.
A relaxed structure of Sr2Y2As. Source: Alexandria, functional PBE-GGA.

Properties
- Uncorrected energy: -4.46 eV per atom
- Space-group type: P4/mbm, No. 127

Structure (POSCAR):
```
Sr2Y2As
1.0
-4.7688 6.0199 -0.9279
-2.8972 -3.2784 -6.3797
-4.2846 -2.8672 3.4191
Sr As Y
4 2 4
Cartesian
-4.8529 -2.6215 -2.6833
-7.0978 2.4959 -1.2052
-4.2186 0.0457 0.3481
-7.7320 -0.1713 -4.2366
-3.8330 1.3708 -3.6538
0.0000 0.0000 0.0000
-3.6258 3.4539 -1.6473
-4.0402 -0.7124 -5.6603
-1.7517 -0.1335 -2.3070
-5.9143 2.8750 -5.0006
```


20.
A relaxed structure of La5Pr8Th. Source: Alexandria, functional PBE-GGA.

Properties
- Uncorrected energy: -4.78 eV per atom
- Space-group type: I-4, No. 82

Structure (POSCAR):
```
La5Pr8Th
1.0
6.5770 -5.4470 1.8689
0.0607 6.2758 6.0853
-7.6367 -4.2544 0.0262
La Pr Th
5 8 1
Cartesian
-0.5350 -1.7748 1.6885
-6.5997 0.4690 4.4014
0.5695 -1.5218 7.5302
4.5673 -4.0236 2.3406
3.3189 0.4144 3.9771
-4.0674 -0.8593 2.1780
0.3723 1.3227 2.9967
-4.6410 -5.1566 1.0655
1.7919 -2.7257 4.2726
-1.9095 -2.0069 5.1473
1.5303 1.8515 6.6257
-1.2527 -5.1177 2.8844
4.1804 -1.0105 6.7513
-2.1285 1.2179 5.0443
```


| no. | spin magnetization (μB per formula unit) |
| --- | --- |
| 1 | 0.45 |
| 2 | 0.00 |
| 3 | 0.00 |
| 4 | 0.00 |
| 5 | 0.00 |
| 6 | 0.26 |
| 7 | 0.84 |
| 8 | 4.20 |
| 9 | 0.00 |
| 10 | 2.99 |
| 11 | 16.10 |
| 12 | 0.00 |
| 13 | 0.20 |
| 14 | 0.86 |
| 15 | 0.00 |
| 16 | 0.00 |
| 17 | 0.00 |
| 18 | 5.48 |
| 19 | 0.48 |
| 20 | 0.00 |